No. 1
Density functional theory data (PBE) for crystalline Ac3TlHRu at its relaxed geometry.

Summary:
The value obtained for the density of states at the Fermi level is 6.7 states/eV/cell. For the total energy, the calculation gives -4.857 eV per atom.

Cell lengths 9.5068, 4.2642, 9.6546 Å; angles 90.00, 104.92, 90.00 degrees
Fractional positions:
Ac (0.0454, 0.2500, 0.3328)
Ac (0.3041, 0.2500, 0.9587)
Ac (0.3760, 0.7500, 0.6353)
Ac (0.6240, 0.2500, 0.3647)
Ac (0.6959, 0.7500, 0.0413)
Ac (0.9546, 0.7500, 0.6672)
Tl (0.3074, 0.7500, 0.2494)
Tl (0.6926, 0.2500, 0.7506)
H (0.4287, 0.7500, 0.9118)
H (0.5713, 0.2500, 0.0882)
Ru (0.1752, 0.2500, 0.6655)
Ru (0.8248, 0.7500, 0.3345)

***

No. 2
Density functional theory data (PBE) for crystalline AcTmH6Ru2 at its relaxed geometry.

Summary:
The value obtained for the density of states at the Fermi level is 4.4 states/eV/cell. For the total energy, the calculation gives -5.115 eV per atom.

Cell lengths 6.1974, 6.1974, 6.1974 Å; angles 46.38, 46.38, 46.38 degrees
Fractional positions:
Ac (0.0000, 0.0000, 0.0000)
Tm (0.5000, 0.5000, 0.5000)
H (0.0399, 0.5781, 0.5781)
H (0.4219, 0.4219, 0.9601)
H (0.4219, 0.9601, 0.4219)
H (0.5781, 0.0399, 0.5781)
H (0.5781, 0.5781, 0.0399)
H (0.9601, 0.4219, 0.4219)
Ru (0.2024, 0.2024, 0.2024)
Ru (0.7976, 0.7976, 0.7976)

***

No. 3
Density functional theory data (PBE) for crystalline AcZnH6Ru at its relaxed geometry.

Summary:
The value obtained for the density of states at the Fermi level is 1.6 states/eV/cell. For the total energy, the calculation gives -4.175 eV per atom.

Cell lengths 4.7388, 4.7388, 4.6453 Å; angles 90.00, 90.00, 120.00 degrees
Fractional positions:
Ac (0.0000, 0.0000, 0.0000)
Zn (0.3333, 0.6667, 0.5000)
H (0.5122, 0.0245, 0.2469)
H (0.5122, 0.0245, 0.7531)
H (0.5122, 0.4878, 0.2469)
H (0.5122, 0.4878, 0.7531)
H (0.9755, 0.4878, 0.2469)
H (0.9755, 0.4878, 0.7531)
Ru (0.6667, 0.3333, 0.5000)

***

No. 4
Density functional theory data (PBE) for crystalline AcH2S at its relaxed geometry.

Summary:
The value obtained for the density of states at the Fermi level is 2.3 states/eV/cell. For the total energy, the calculation gives -4.440 eV per atom.

Cell lengths 4.4142, 4.4142, 4.4142 Å; angles 59.24, 59.24, 59.24 degrees
Fractional positions:
Ac (0.0000, 0.0000, 0.0000)
H (0.2419, 0.2419, 0.2419)
H (0.7581, 0.7581, 0.7581)
S (0.5000, 0.5000, 0.5000)

***

No. 5
Density functional theory data (PBE) for crystalline Ac3H5S2 at its relaxed geometry.

Summary:
The value obtained for the density of states at the Fermi level is 0.0 states/eV/cell. For the total energy, the calculation gives -4.840 eV per atom.

Cell lengths 12.4608, 12.4608, 6.9390 Å; angles 90.00, 90.00, 160.52 degrees
Fractional positions:
Ac (0.0518, 0.9482, 0.5000)
Ac (0.2321, 0.7679, 0.7033)
Ac (0.3913, 0.6087, 0.5584)
Ac (0.6087, 0.3913, 0.0584)
Ac (0.7679, 0.2321, 0.2033)
Ac (0.9482, 0.0518, 0.0000)
H (0.0558, 0.9442, 0.1276)
H (0.1275, 0.8725, 0.7991)
H (0.2701, 0.7299, 0.0300)
H (0.2973, 0.7027, 0.4117)
H (0.4061, 0.5939, 0.9063)
H (0.5939, 0.4061, 0.4063)
H (0.7027, 0.2973, 0.9117)
H (0.7299, 0.2701, 0.5300)
H (0.8725, 0.1275, 0.2991)
H (0.9442, 0.0558, 0.6276)
S (0.1744, 0.8256, 0.2810)
S (0.4819, 0.5181, 0.2852)
S (0.5181, 0.4819, 0.7852)
S (0.8256, 0.1744, 0.7810)

***

No. 6
Density functional theory data (PBE) for crystalline Ac2H4S at its relaxed geometry.

Summary:
The value obtained for the density of states at the Fermi level is 0.0 states/eV/cell. For the total energy, the calculation gives -4.662 eV per atom.

Cell lengths 7.4992, 7.4992, 4.1591 Å; angles 90.00, 90.00, 90.00 degrees
Fractional positions:
Ac (0.2172, 0.2172, 0.0000)
Ac (0.2828, 0.7172, 0.5000)
Ac (0.7172, 0.2828, 0.5000)
Ac (0.7828, 0.7828, 0.0000)
H (0.0972, 0.6664, 0.0000)
H (0.1664, 0.4028, 0.5000)
H (0.3336, 0.9028, 0.0000)
H (0.4028, 0.1664, 0.5000)
H (0.5972, 0.8336, 0.5000)
H (0.6664, 0.0972, 0.0000)
H (0.8336, 0.5972, 0.5000)
H (0.9028, 0.3336, 0.0000)
S (0.0000, 0.0000, 0.5000)
S (0.5000, 0.5000, 0.0000)

***

No. 7
Density functional theory data (PBE) for crystalline AcH2S8 at its relaxed geometry.

Summary:
The value obtained for the density of states at the Fermi level is 4.7 states/eV/cell. For the total energy, the calculation gives -4.434 eV per atom.

Cell lengths 4.5166, 5.9621, 10.4966 Å; angles 94.83, 97.54, 94.01 degrees
Fractional positions:
Ac (0.0000, 0.0000, 0.0000)
H (0.4516, 0.2536, 0.5025)
H (0.5484, 0.7464, 0.4975)
S (0.1593, 0.4969, 0.9413)
S (0.2017, 0.2129, 0.4139)
S (0.4096, 0.2518, 0.2529)
S (0.4532, 0.0612, 0.8093)
S (0.5468, 0.9388, 0.1907)
S (0.5904, 0.7482, 0.7471)
S (0.7983, 0.7871, 0.5861)
S (0.8407, 0.5031, 0.0587)

***

No. 8
Density functional theory data (PBE) for crystalline AcHS3 at its relaxed geometry.

Summary:
The value obtained for the density of states at the Fermi level is 1.0 states/eV/cell. For the total energy, the calculation gives -4.897 eV per atom.

Cell lengths 4.5079, 4.8541, 5.5245 Å; angles 90.00, 90.00, 90.00 degrees
Fractional positions:
Ac (0.0000, 0.0000, 0.0000)
H (0.5000, 0.5000, 0.7414)
S (0.0000, 0.2180, 0.4969)
S (0.0000, 0.7820, 0.4969)
S (0.5000, 0.5000, 0.9882)

***

No. 9
Density functional theory data (PBE) for crystalline AcH3S3 at its relaxed geometry.

Summary:
The value obtained for the density of states at the Fermi level is 0.0 states/eV/cell. For the total energy, the calculation gives -4.624 eV per atom.

Cell lengths 7.8179, 7.8179, 7.8179 Å; angles 61.65, 61.65, 61.65 degrees
Fractional positions:
Ac (0.1690, 0.1690, 0.1690)
Ac (0.8310, 0.8310, 0.8310)
H (0.1241, 0.1520, 0.6279)
H (0.1520, 0.6279, 0.1241)
H (0.3721, 0.8759, 0.8480)
H (0.6279, 0.1241, 0.1520)
H (0.8480, 0.3721, 0.8759)
H (0.8759, 0.8480, 0.3721)
S (0.0545, 0.7773, 0.4108)
S (0.2227, 0.5892, 0.9455)
S (0.4108, 0.0545, 0.7773)
S (0.5892, 0.9455, 0.2227)
S (0.7773, 0.4108, 0.0545)
S (0.9455, 0.2227, 0.5892)

***

No. 10
Density functional theory data (PBE) for crystalline Ac2UHS6 at its relaxed geometry.

Summary:
The value obtained for the density of states at the Fermi level is 5.0 states/eV/cell. For the total energy, the calculation gives -6.054 eV per atom.

Cell lengths 6.9104, 6.9104, 6.9212 Å; angles 117.75, 117.75, 57.20 degrees
Fractional positions:
Ac (0.2381, 0.2381, 0.2120)
Ac (0.7619, 0.7619, 0.7880)
U (0.0000, 0.0000, 0.5000)
H (0.5000, 0.5000, 0.0000)
S (0.2086, 0.6847, 0.1862)
S (0.2423, 0.2423, 0.6410)
S (0.3153, 0.7914, 0.8138)
S (0.6847, 0.2086, 0.1862)
S (0.7577, 0.7577, 0.3590)
S (0.7914, 0.3153, 0.8138)